Entry 1:
The following is a PBE-GGA calculation of an optimized crystal structure of AgCl2OF, from Alexandria.

Geometry as CIF:
```
data_AgCl2OF
_chemical_formula_sum 'Ag1 Cl2 O1 F1'
_space_group_name_H-M_alt 'P 1'
_space_group_IT_number 1
_cell_length_a 4.9977
_cell_length_b 4.1776
_cell_length_c 4.9977
_cell_angle_alpha 90.00
_cell_angle_beta 90.00
_cell_angle_gamma 90.00
loop_
_space_group_symop_operation_xyz
'x,y,z'
loop_
_atom_site_label
_atom_site_type_symbol
_atom_site_fract_x
_atom_site_fract_y
_atom_site_fract_z
F1 F 0.0000 0.5000 0.0000
O1 O 0.5000 0.5000 0.5000
Ag1 Ag 0.0000 0.0000 0.0000
Cl1 Cl 0.0000 0.0000 0.5000
Cl2 Cl 0.5000 0.0000 0.0000
```

Entry 2:
The following is a PBE-GGA calculation of an optimized crystal structure of Ag4ClOF, from Alexandria.

Geometry as CIF:
```
data_Ag4ClOF
_chemical_formula_sum 'Ag8 Cl2 O2 F2'
_space_group_name_H-M_alt 'P 1'
_space_group_IT_number 1
_cell_length_a 6.1772
_cell_length_b 6.3690
_cell_length_c 6.7118
_cell_angle_alpha 90.00
_cell_angle_beta 102.75
_cell_angle_gamma 90.00
loop_
_space_group_symop_operation_xyz
'x,y,z'
loop_
_atom_site_label
_atom_site_type_symbol
_atom_site_fract_x
_atom_site_fract_y
_atom_site_fract_z
Ag1 Ag 0.0758 0.5250 0.7214
Ag2 Ag 0.9242 0.0250 0.2786
Ag3 Ag 0.9242 0.4750 0.2786
Ag4 Ag 0.0758 0.9750 0.7214
Ag5 Ag 0.3612 0.7500 0.0450
Ag6 Ag 0.6388 0.2500 0.9550
Ag7 Ag 0.3646 0.7500 0.5265
Ag8 Ag 0.6354 0.2500 0.4735
Cl1 Cl 0.6417 0.7500 0.8417
Cl2 Cl 0.3584 0.2500 0.1583
O1 O 0.1346 0.7500 0.2423
O2 O 0.8654 0.2500 0.7577
F1 F 0.6643 0.7500 0.3512
F2 F 0.3357 0.2500 0.6488
```

Entry 3:
The following is a PBE-GGA calculation of an optimized crystal structure of Ag6Cl2OF2, from Alexandria.

Geometry as CIF:
```
data_Ag6Cl2OF2
_chemical_formula_sum 'Ag6 Cl2 O1 F2'
_space_group_name_H-M_alt 'P 1'
_space_group_IT_number 1
_cell_length_a 6.5662
_cell_length_b 6.3024
_cell_length_c 6.4633
_cell_angle_alpha 106.59
_cell_angle_beta 90.00
_cell_angle_gamma 121.39
loop_
_space_group_symop_operation_xyz
'x,y,z'
loop_
_atom_site_label
_atom_site_type_symbol
_atom_site_fract_x
_atom_site_fract_y
_atom_site_fract_z
Ag1 Ag 0.7121 0.4242 0.5746
Ag2 Ag 0.2126 0.8692 0.1779
Ag3 Ag 0.3434 0.1308 0.8221
Ag4 Ag 0.7874 0.1308 0.8221
Ag5 Ag 0.6566 0.8692 0.1779
Ag6 Ag 0.2879 0.5758 0.4254
Cl1 Cl 0.7272 0.4544 0.1483
Cl2 Cl 0.2728 0.5456 0.8517
O1 O 0.5000 0.0000 0.5000
F1 F 0.9251 0.8503 0.7386
F2 F 0.0749 0.1497 0.2614
```

Entry 4:
The following is a PBE-GGA calculation of an optimized crystal structure of Ag6ClOF2, from Alexandria.

Geometry as CIF:
```
data_Ag6ClOF2
_chemical_formula_sum 'Ag6 Cl1 O1 F2'
_space_group_name_H-M_alt 'P 1'
_space_group_IT_number 1
_cell_length_a 6.2981
_cell_length_b 6.2600
_cell_length_c 5.7991
_cell_angle_alpha 122.67
_cell_angle_beta 102.01
_cell_angle_gamma 90.00
loop_
_space_group_symop_operation_xyz
'x,y,z'
loop_
_atom_site_label
_atom_site_type_symbol
_atom_site_fract_x
_atom_site_fract_y
_atom_site_fract_z
Ag1 Ag 0.3048 0.6803 0.3606
Ag2 Ag 0.1360 0.1134 0.7759
Ag3 Ag 0.8640 0.3375 0.2241
Ag4 Ag 0.1360 0.6625 0.7759
Ag5 Ag 0.8640 0.8866 0.2241
Ag6 Ag 0.6952 0.3197 0.6394
Cl1 Cl 0.5000 0.0000 0.0000
O1 O 0.0000 0.5000 0.0000
F1 F 0.3366 0.2998 0.5995
F2 F 0.6634 0.7002 0.4005
```

Entry 5:
The following is a PBE-GGA calculation of an optimized crystal structure of Ag3ClOF, from Alexandria.

Geometry as CIF:
```
data_Ag3ClOF
_chemical_formula_sum 'Ag6 Cl2 O2 F2'
_space_group_name_H-M_alt 'P 1'
_space_group_IT_number 1
_cell_length_a 4.3721
_cell_length_b 6.5222
_cell_length_c 8.6226
_cell_angle_alpha 77.37
_cell_angle_beta 90.00
_cell_angle_gamma 109.58
loop_
_space_group_symop_operation_xyz
'x,y,z'
loop_
_atom_site_label
_atom_site_type_symbol
_atom_site_fract_x
_atom_site_fract_y
_atom_site_fract_z
Ag1 Ag 0.7359 0.4718 0.1872
Ag2 Ag 0.8330 0.6661 0.5409
Ag3 Ag 0.4862 0.9723 0.2664
Ag4 Ag 0.1670 0.3339 0.4591
Ag5 Ag 0.5138 0.0277 0.7336
Ag6 Ag 0.2641 0.5282 0.8128
Cl1 Cl 0.3519 0.7039 0.0708
Cl2 Cl 0.6481 0.2961 0.9292
O1 O 0.6782 0.3564 0.4615
O2 O 0.3218 0.6436 0.5385
F1 F 0.0336 0.0671 0.3260
F2 F 0.9664 0.9329 0.6740
```

Entry 6:
The following is a PBE-GGA calculation of an optimized crystal structure of Ag4Cl2OF2, from Alexandria.

Geometry as CIF:
```
data_Ag4Cl2OF2
_chemical_formula_sum 'Ag4 Cl2 O1 F2'
_space_group_name_H-M_alt 'P 1'
_space_group_IT_number 1
_cell_length_a 3.6287
_cell_length_b 7.4896
_cell_length_c 8.5466
_cell_angle_alpha 132.96
_cell_angle_beta 90.00
_cell_angle_gamma 104.02
loop_
_space_group_symop_operation_xyz
'x,y,z'
loop_
_atom_site_label
_atom_site_type_symbol
_atom_site_fract_x
_atom_site_fract_y
_atom_site_fract_z
Ag1 Ag 0.7987 0.5973 0.8850
Ag2 Ag 0.2013 0.4027 0.1150
Ag3 Ag 0.5729 0.1457 0.2504
Ag4 Ag 0.4271 0.8543 0.7496
Cl1 Cl 0.8373 0.6746 0.4516
Cl2 Cl 0.1627 0.3254 0.5484
O1 O 0.0000 0.0000 0.0000
F1 F 0.3627 0.7254 0.1246
F2 F 0.6373 0.2746 0.8754
```

Entry 7:
The following is a PBE-GGA calculation of an optimized crystal structure of Ag3OsCl2F6, from Alexandria.

Geometry as CIF:
```
data_Ag3OsCl2F6
_chemical_formula_sum 'Ag3 Os1 Cl2 F6'
_space_group_name_H-M_alt 'P 1'
_space_group_IT_number 1
_cell_length_a 4.8644
_cell_length_b 7.1741
_cell_length_c 7.7459
_cell_angle_alpha 117.59
_cell_angle_beta 95.84
_cell_angle_gamma 90.00
loop_
_space_group_symop_operation_xyz
'x,y,z'
loop_
_atom_site_label
_atom_site_type_symbol
_atom_site_fract_x
_atom_site_fract_y
_atom_site_fract_z
Ag1 Ag 0.0000 0.5000 0.0000
Ag2 Ag 0.5000 0.5000 0.5000
Ag3 Ag 0.5000 0.0000 0.5000
Os1 Os 0.5000 0.0000 0.0000
Cl1 Cl 0.1931 0.6776 0.3552
Cl2 Cl 0.8069 0.3224 0.6448
F1 F 0.7251 0.2582 0.1312
F2 F 0.2749 0.7418 0.8688
F3 F 0.7156 0.8912 0.7823
F4 F 0.2844 0.1088 0.2177
F5 F 0.2749 0.1270 0.8688
F6 F 0.7251 0.8730 0.1312
```

Entry 8:
The following is a PBE-GGA calculation of an optimized crystal structure of Ag2OsCl2F4, from Alexandria.

Geometry as CIF:
```
data_Ag2OsCl2F4
_chemical_formula_sum 'Ag2 Os1 Cl2 F4'
_space_group_name_H-M_alt 'P 1'
_space_group_IT_number 1
_cell_length_a 5.0705
_cell_length_b 6.4442
_cell_length_c 6.4442
_cell_angle_alpha 52.65
_cell_angle_beta 104.28
_cell_angle_gamma 104.28
loop_
_space_group_symop_operation_xyz
'x,y,z'
loop_
_atom_site_label
_atom_site_type_symbol
_atom_site_fract_x
_atom_site_fract_y
_atom_site_fract_z
Ag1 Ag 0.1971 0.6401 0.6401
Ag2 Ag 0.8029 0.3599 0.3599
Os1 Os 0.5000 0.0000 0.0000
Cl1 Cl 0.3639 0.1772 0.1772
Cl2 Cl 0.6361 0.8228 0.8228
F1 F 0.2324 0.6860 0.1877
F2 F 0.7676 0.8123 0.3140
F3 F 0.7676 0.3140 0.8123
F4 F 0.2324 0.1877 0.6860
```

Entry 9:
The following is a PBE-GGA calculation of an optimized crystal structure of Ag3OsCl6F2, from Alexandria.

Geometry as CIF:
```
data_Ag3OsCl6F2
_chemical_formula_sum 'Ag3 Os1 Cl6 F2'
_space_group_name_H-M_alt 'P 1'
_space_group_IT_number 1
_cell_length_a 6.0458
_cell_length_b 7.1108
_cell_length_c 7.8848
_cell_angle_alpha 116.80
_cell_angle_beta 109.75
_cell_angle_gamma 90.00
loop_
_space_group_symop_operation_xyz
'x,y,z'
loop_
_atom_site_label
_atom_site_type_symbol
_atom_site_fract_x
_atom_site_fract_y
_atom_site_fract_z
Ag1 Ag 0.0000 0.5000 0.0000
Ag2 Ag 0.5000 0.5000 0.5000
Ag3 Ag 0.5000 0.0000 0.5000
Os1 Os 0.5000 0.0000 0.0000
Cl1 Cl 0.7464 0.3359 0.2063
Cl2 Cl 0.2536 0.6641 0.7937
Cl3 Cl 0.7257 0.8972 0.7944
Cl4 Cl 0.2743 0.1028 0.2056
Cl5 Cl 0.2536 0.1295 0.7937
Cl6 Cl 0.7464 0.8705 0.2063
F1 F 0.2892 0.6547 0.3095
F2 F 0.7108 0.3453 0.6905
```

Entry 10:
The following is a PBE-GGA calculation of an optimized crystal structure of Ag2OsCl4F2, from Alexandria.

Geometry as CIF:
```
data_Ag2OsCl4F2
_chemical_formula_sum 'Ag2 Os1 Cl4 F2'
_space_group_name_H-M_alt 'P 1'
_space_group_IT_number 1
_cell_length_a 5.9198
_cell_length_b 6.5583
_cell_length_c 6.5583
_cell_angle_alpha 75.08
_cell_angle_beta 97.95
_cell_angle_gamma 97.95
loop_
_space_group_symop_operation_xyz
'x,y,z'
loop_
_atom_site_label
_atom_site_type_symbol
_atom_site_fract_x
_atom_site_fract_y
_atom_site_fract_z
Ag1 Ag 0.6513 0.6221 0.6221
Ag2 Ag 0.3487 0.3779 0.3779
Os1 Os 0.5000 0.0000 0.0000
Cl1 Cl 0.2657 0.6756 0.0777
Cl2 Cl 0.7343 0.9223 0.3244
Cl3 Cl 0.7343 0.3244 0.9223
Cl4 Cl 0.2657 0.0777 0.6756
F1 F 0.3008 0.1285 0.1285
F2 F 0.6992 0.8715 0.8715
```

| no. | final energy (eV per atom) | ΔE_f (raw) (eV per formula unit) | theoretical density (g/cm³) |
| --- | --- | --- | --- |
| 1 | -2.423 | 1.26 | 3.4 |
| 2 | -3.230 | -2.53 | 6.5 |
| 3 | -3.133 | -4.96 | 6.0 |
| 4 | -3.158 | -3.92 | 6.6 |
| 5 | -3.310 | -2.63 | 5.8 |
| 6 | -3.178 | -4.80 | 5.8 |
| 7 | -4.138 | -14.95 | 4.9 |
| 8 | -4.159 | -9.32 | 5.7 |
| 9 | -3.498 | -7.37 | 4.5 |
| 10 | -3.877 | -6.83 | 4.0 |